# 1
An optimized crystal structure of K3NbV2O8. Source: the Alexandria database, functional PBE with a Hubbard U.

```
14
Lattice="5.820 0.000 0.000 -2.910 5.040 0.000 0.000 0.000 7.583" Properties=species:S:1:pos:R:3 pbc="T T T"
V 2.910 1.680 5.683
V 0.000 3.360 1.900
O 0.000 3.360 0.207
O -1.469 4.208 2.610
O 2.910 3.377 4.973
O 0.000 1.664 2.610
O 1.441 0.832 4.973
O 2.910 1.680 7.376
O 1.469 4.208 2.610
O 4.379 0.832 4.973
Nb 0.000 0.000 3.792
K 0.000 0.000 0.000
K 0.000 3.360 5.196
K 2.910 1.680 2.387
```

The calculation puts the uncorrected energy at -6.928 eV per atom. As for the space group: P-3m1, No. 164. Its spin magnetization is 2.00 μB/cell.

***

# 2
An optimized crystal structure of K4Nb3VO12. Source: the Alexandria database, functional PBE with a Hubbard U.

```
20
Lattice="6.943 0.000 0.000 -2.314 6.546 0.000 -2.314 -3.273 5.669" Properties=species:S:1:pos:R:3 pbc="T T T"
O 1.157 4.091 1.417
O 1.125 1.592 0.000
O -3.503 2.477 4.291
O -1.157 3.273 2.835
O 3.472 2.455 1.417
O 3.503 4.955 0.000
O 1.157 -0.818 4.252
O -1.157 0.818 4.252
O 3.472 0.000 2.835
O 3.503 -2.477 4.291
O -1.125 0.796 1.378
O 1.125 -0.796 1.378
K 1.157 1.637 2.835
K -1.157 -1.637 2.835
K -1.157 3.273 0.000
K 3.472 0.000 0.000
Nb 2.314 -1.637 2.835
Nb 2.314 3.273 0.000
Nb -2.314 1.637 2.835
V 0.000 0.000 0.000
```

The calculation puts the uncorrected energy at -7.338 eV per atom. As for the space group: Im-3m, No. 229. Its spin magnetization is 0.00 μB/cell.

***

# 3
An optimized crystal structure of KNbW2O9. Source: the Alexandria database, functional PBE with a Hubbard U.

```
39
Lattice="3.952 0.004 0.001 0.017 13.064 -0.002 -0.015 -6.501 11.330" Properties=species:S:1:pos:R:3 pbc="T T T"
O 2.113 -0.581 1.799
O 0.210 6.419 3.824
O 2.144 4.634 8.092
O 0.168 -0.140 3.695
O 0.178 -0.076 7.611
O 0.114 6.537 11.296
O 2.126 -1.962 7.086
O 2.119 4.650 10.831
O 2.154 4.542 3.244
O 2.120 0.587 5.651
O 2.159 8.418 4.344
O 2.106 -1.980 4.293
O 0.136 9.759 5.726
O 2.122 4.634 0.482
O 2.146 8.379 7.074
O 2.156 5.944 5.748
O 0.196 6.508 7.587
O 2.116 1.902 10.830
O 2.116 1.856 0.466
O 2.124 1.895 3.189
O 2.130 6.995 9.436
O 2.129 1.956 8.099
O 0.181 3.286 9.496
O 0.183 3.241 1.788
O 0.125 6.522 0.005
O 2.119 -0.522 9.511
O 2.150 7.012 1.852
W 2.310 6.540 7.535
W 1.962 -3.237 5.683
W 1.954 0.017 0.001
W 1.948 0.037 11.323
W 2.300 3.291 1.869
W 2.299 3.302 9.469
K 0.970 3.355 5.617
K 0.170 -2.701 9.171
K 0.176 10.352 2.095
Nb 2.296 0.059 7.532
Nb 2.336 6.566 3.771
Nb 2.288 0.031 3.784
```

The calculation puts the uncorrected energy at -7.594 eV per atom. As for the space group: P1, No. 1. Its spin magnetization is 0.00 μB/cell.

***

# 4
An optimized crystal structure of K2Nb3WO12. Source: the Alexandria database, functional PBE with a Hubbard U.

```
18
Lattice="7.472 0.013 0.010 3.702 6.491 0.010 3.702 2.155 6.122" Properties=species:S:1:pos:R:3 pbc="T T T"
K 9.224 5.369 3.808
K 5.652 3.290 2.333
W 0.000 0.000 0.000
O 6.991 4.069 5.745
O 5.643 0.536 0.380
O 6.991 6.767 1.941
O 9.337 2.737 1.941
O 5.539 5.922 4.201
O 3.252 4.642 0.380
O 3.252 1.893 4.255
O 11.623 6.766 1.886
O 9.233 8.123 5.762
O 7.885 1.892 4.201
O 7.885 4.590 0.397
O 11.623 4.017 5.762
Nb 1.851 3.245 0.005
Nb 3.736 0.007 0.005
Nb 1.851 1.077 3.061
```

The calculation puts the uncorrected energy at -7.761 eV per atom. As for the space group: R-3m, No. 166. Its spin magnetization is 1.10 μB/cell.

***

Among the records above, which one has the lowest uncorrected energy? K2Nb3WO12